No. 1
DFT (GGA-PBE) results for an optimized crystal structure of La2OsPt.

For the calculated volume, the calculation gives 85.61 Å³/cell. The calculation puts the total magnetic moment at 0.0003 μB/atom. The calculated formation energy is -124 meV per atom. As for the space group: F-43m (216).

Cell lengths 4.9470, 4.9470, 4.9470 Å; angles 60.00, 60.00, 60.00 degrees
Last column: nearest neighbours and their distance in Å.
Positions (direct):
La: 0.0000 0.0000 0.0000  4 La 3.03, 4 Os 3.03
La: 0.2500 0.2500 0.2500  4 La 3.03, 4 Pt 3.03
Os: 0.7500 0.7500 0.7500  4 Pt 3.03, 4 La 3.03
Pt: 0.5000 0.5000 0.5000  4 Os 3.03, 4 La 3.03

---

No. 2
DFT (GGA-PBE) results for an optimized crystal structure of Ba2GaSn.

For the calculated volume, the calculation gives 147.91 Å³/cell. The calculation puts the total magnetic moment at 0.0000 μB/atom. The calculated formation energy is -425 meV per atom. The energy above the most stable polymorph in this dataset comes out at 0.117 eV per atom. As for the space group: Fm-3m (225).

Cell lengths 5.9362, 5.9362, 5.9362 Å; angles 60.00, 60.00, 60.00 degrees
Last column: nearest neighbours and their distance in Å.
Positions (direct):
Ba: 0.2500 0.2500 0.2500  4 Sn 3.64, 4 Ga 3.64
Ba: 0.7500 0.7500 0.7500  4 Sn 3.64, 4 Ga 3.64
Ga: 0.0000 0.0000 0.0000  8 Ba 3.64
Sn: 0.5000 0.5000 0.5000  8 Ba 3.64

---

No. 3
DFT (GGA-PBE) results for an optimized crystal structure of HoScNiAu.

For the calculated volume, the calculation gives 78.67 Å³/cell. The calculation puts the total magnetic moment at 0.0000 μB/atom. The calculated formation energy is -589 meV per atom. As for the space group: F-43m (216).

Cell lengths 4.8097, 4.8097, 4.8097 Å; angles 60.00, 60.00, 60.00 degrees
Last column: nearest neighbours and their distance in Å.
Positions (direct):
Ho: 0.0000 0.0000 0.0000  4 Ni 2.95, 4 Au 2.95
Sc: 0.5000 0.5000 0.5000  4 Ni 2.95, 4 Au 2.95
Ni: 0.7500 0.7500 0.7500  4 Sc 2.95, 4 Ho 2.95
Au: 0.2500 0.2500 0.2500  4 Sc 2.95, 4 Ho 2.95

---

No. 4
DFT (GGA-PBE) results for an optimized crystal structure of NaPm3In12.

For the calculated volume, the calculation gives 414.18 Å³/cell. The calculation puts the total magnetic moment at 0.0000 μB/atom. The calculated formation energy is -356 meV per atom. As for the space group: P4/mmm (123).

Cell lengths 4.6998, 4.6998, 18.7508 Å; angles 90.00, 90.00, 90.00 degrees
Last column: nearest neighbours and their distance in Å.
Positions (direct):
Na: 0.0000 0.0000 0.0000  12 In 3.28-3.32
Pm: 0.0000 0.0000 0.2500  12 In 3.31-3.36
Pm: 0.0000 0.0000 0.5000  12 In 3.32-3.33
Pm: 0.0000 0.0000 0.7500  12 In 3.31-3.36
In: 0.0000 0.5000 0.1221  8 In 3.28-3.38, 2 Na 3.28, 2 Pm 3.36
In: 0.0000 0.5000 0.3745  8 In 3.29-3.33, 4 Pm 3.31-3.33
In: 0.0000 0.5000 0.6255  8 In 3.29-3.33, 4 Pm 3.31-3.33
In: 0.0000 0.5000 0.8779  8 In 3.28-3.38, 2 Na 3.28, 2 Pm 3.36
In: 0.5000 0.0000 0.1221  8 In 3.28-3.38, 2 Na 3.28, 2 Pm 3.36
In: 0.5000 0.0000 0.3745  8 In 3.29-3.33, 4 Pm 3.31-3.33
In: 0.5000 0.0000 0.6255  8 In 3.29-3.33, 4 Pm 3.31-3.33
In: 0.5000 0.0000 0.8779  8 In 3.28-3.38, 2 Na 3.28, 2 Pm 3.36
In: 0.5000 0.5000 0.0000  8 In 3.28, 4 Na 3.32
In: 0.5000 0.5000 0.2518  8 In 3.29-3.38, 4 Pm 3.32
In: 0.5000 0.5000 0.5000  4 Pm 3.32, 8 In 3.33
In: 0.5000 0.5000 0.7482  8 In 3.29-3.38, 4 Pm 3.32

---

No. 5
DFT (GGA-PBE) results for an optimized crystal structure of AcPm5Ge2.

For the calculated volume, the calculation gives 250.11 Å³/cell. The calculation puts the total magnetic moment at 0.0029 μB/atom. The calculated formation energy is -358 meV per atom. As for the space group: Immm (71).

Cell lengths 7.7440, 7.7440, 7.7440 Å; angles 145.02, 104.35, 86.15 degrees
Last column: nearest neighbours and their distance in Å.
Positions (direct):
Ac: 0.0000 0.0000 0.0000  4 Ge 3.41
Pm: 0.1522 0.3397 0.8125  3 Ge 3.04-3.23, 2 Pm 3.31
Pm: 0.4728 0.6603 0.8125  3 Ge 3.04-3.23, 2 Pm 3.31
Pm: 0.5000 0.0000 0.5000  2 Ge 3.17, 8 Pm 3.45
Pm: 0.5272 0.3397 0.1875  3 Ge 3.04-3.23, 2 Pm 3.31
Pm: 0.8478 0.6603 0.1875  3 Ge 3.04-3.23, 2 Pm 3.31
Ge: 0.2199 0.7199 0.5000  7 Pm 3.04-3.23, 2 Ac 3.41
Ge: 0.7801 0.2801 0.5000  7 Pm 3.04-3.23, 2 Ac 3.41

---

No. 6
DFT (GGA-PBE) results for an optimized crystal structure of Pm2Pt.

For the calculated volume, the calculation gives 325.99 Å³/cell. The calculation puts the total magnetic moment at 0.0000 μB/atom. The calculated formation energy is -839 meV per atom. The energy above the most stable polymorph in this dataset comes out at 0.000 eV per atom. As for the space group: Pnma (62).

Cell lengths 7.3517, 4.8903, 9.0672 Å; angles 90.00, 90.00, 90.00 degrees
Last column: nearest neighbours and their distance in Å.
Positions (direct):
Pm: 0.0059 0.2500 0.1666  3 Pt 2.89-3.13
Pm: 0.1444 0.2500 0.5858  4 Pt 2.96-3.04
Pm: 0.3556 0.7500 0.0858  4 Pt 2.96-3.04
Pm: 0.4941 0.7500 0.6666  3 Pt 2.89-3.13
Pm: 0.5059 0.2500 0.3334  3 Pt 2.89-3.13
Pm: 0.6444 0.2500 0.9142  4 Pt 2.96-3.04
Pm: 0.8556 0.7500 0.4142  4 Pt 2.96-3.04
Pm: 0.9941 0.7500 0.8334  3 Pt 2.89-3.13
Pt: 0.2419 0.2500 0.9111  7 Pm 2.89-3.13
Pt: 0.2581 0.7500 0.4111  7 Pm 2.89-3.13
Pt: 0.7419 0.2500 0.5889  7 Pm 2.89-3.13
Pt: 0.7581 0.7500 0.0889  7 Pm 2.89-3.13

---

No. 7
DFT (GGA-PBE) results for an optimized crystal structure of BiAsI.

For the calculated volume, the calculation gives 409.44 Å³/cell. The calculation puts the total magnetic moment at 0.0000 μB/atom. The energy relative to the elements, uncorrected comes out at 0.7 kJ/mol of atoms. The energy above the most stable polymorph in this dataset comes out at 0.102 eV per atom. As for the space group: P2_12_12_1 (19).

Cell lengths 4.2136, 7.7263, 12.5766 Å; angles 90.00, 90.00, 90.00 degrees
Last column: nearest neighbours and their distance in Å.
Positions (direct):
Bi: 0.0049 0.0777 0.3751  3 As 2.85-2.86
Bi: 0.4951 0.9223 0.8751  3 As 2.85-2.86
Bi: 0.5049 0.4223 0.6249  3 As 2.85-2.86
Bi: 0.9951 0.5777 0.1249  3 As 2.85-2.86
As: 0.0048 0.4113 0.4718  3 Bi 2.85-2.86
As: 0.4952 0.5887 0.9718  3 Bi 2.85-2.86
As: 0.5048 0.0887 0.5282  3 Bi 2.85-2.86
As: 0.9952 0.9113 0.0282  3 Bi 2.85-2.86
I: 0.0027 0.3040 0.8324  4 Bi 3.47-3.68, 2 As 3.50-3.53
I: 0.4973 0.6960 0.3324  4 Bi 3.47-3.68, 2 As 3.50-3.53
I: 0.5027 0.1960 0.1676  4 Bi 3.47-3.68, 2 As 3.50-3.53
I: 0.9973 0.8040 0.6676  4 Bi 3.47-3.68, 2 As 3.50-3.53

---

No. 8
DFT (GGA-PBE) results for an optimized crystal structure of Cr3W.

For the calculated volume, the calculation gives 51.59 Å³/cell. The calculation puts the total magnetic moment at 0.0000 μB/atom. The calculated formation energy is 80 meV per atom. As for the space group: P2/m (10).

Cell lengths 2.5933, 4.1309, 4.8927 Å; angles 90.00, 100.16, 90.00 degrees
Last column: nearest neighbours and their distance in Å.
Positions (direct):
Cr: 0.0000 0.0000 0.0000  6 Cr 2.51-2.59, 2 W 2.56
Cr: 0.2539 0.5000 0.7625  6 Cr 2.45-2.67, 2 W 2.57
Cr: 0.7461 0.5000 0.2375  6 Cr 2.45-2.67, 2 W 2.57
W: 0.5000 0.0000 0.5000  6 Cr 2.56-2.57, 2 W 2.59

---

No. 9
DFT (GGA-PBE) results for an optimized crystal structure of La6Tb5Er.

For the calculated volume, the calculation gives 411.21 Å³/cell. The calculation puts the total magnetic moment at 0.0000 μB/atom. The calculated formation energy is 18 meV per atom. The energy above the most stable polymorph in this dataset comes out at 0.000 eV per atom. As for the space group: Immm (71).

Cell lengths 9.6621, 9.6621, 9.6621 Å; angles 148.60, 117.36, 71.75 degrees
Last column: nearest neighbours and their distance in Å.
Positions (direct):
La: 0.0831 0.3335 0.7496  1 Er 3.62, 7 Tb 3.62-3.63, 4 La 3.69-3.70
La: 0.2494 0.0000 0.2494  6 Tb 3.61-3.63, 2 Er 3.62, 4 La 3.69
La: 0.4161 0.6665 0.7496  1 Er 3.62, 7 Tb 3.62-3.63, 4 La 3.69-3.70
La: 0.5839 0.3335 0.2504  1 Er 3.62, 7 Tb 3.62-3.63, 4 La 3.69-3.70
La: 0.7506 0.0000 0.7506  6 Tb 3.61-3.63, 2 Er 3.62, 4 La 3.69
La: 0.9169 0.6665 0.2504  1 Er 3.62, 7 Tb 3.62-3.63, 4 La 3.69-3.70
Tb: 0.1663 0.1663 0.0000  8 La 3.61-3.63, 2 Er 3.69, 2 Tb 3.70
Tb: 0.3332 0.8332 0.5000  8 La 3.62-3.63, 4 Tb 3.70
Tb: 0.5000 0.5000 0.0000  8 La 3.62-3.63, 4 Tb 3.70
Tb: 0.6668 0.1668 0.5000  8 La 3.62-3.63, 4 Tb 3.70
Tb: 0.8337 0.8337 0.0000  8 La 3.61-3.63, 2 Er 3.69, 2 Tb 3.70
Er: 0.0000 0.5000 0.5000  8 La 3.62, 4 Tb 3.69

---

No. 10
DFT (GGA-PBE) results for an optimized crystal structure of InRu2Rh.

For the calculated volume, the calculation gives 62.77 Å³/cell. The calculation puts the total magnetic moment at 0.0137 μB/atom. The calculated formation energy is 293 meV per atom. As for the space group: P4/mmm (123).

Cell lengths 3.1435, 3.1435, 6.3525 Å; angles 90.00, 90.00, 90.00 degrees
Last column: nearest neighbours and their distance in Å.
Positions (direct):
In: 0.0000 0.0000 0.0000  8 Ru 2.81, 4 In 3.14
Ru: 0.5000 0.5000 0.2703  4 Rh 2.66, 4 In 2.81, 1 Ru 2.92
Ru: 0.5000 0.5000 0.7297  4 Rh 2.66, 4 In 2.81, 1 Ru 2.92
Rh: 0.0000 0.0000 0.5000  8 Ru 2.66

---

No. 11
DFT (GGA-PBE) results for an optimized crystal structure of Ce2PmYS4.

For the calculated volume, the calculation gives 181.35 Å³/cell. The calculation puts the total magnetic moment at 0.2000 μB/atom. The energy relative to the elements, uncorrected comes out at -196.4 kJ/mol of atoms. As for the space group: P2/m (10).

Cell lengths 6.9259, 3.9876, 6.9580 Å; angles 90.00, 109.31, 90.00 degrees
Last column: nearest neighbours and their distance in Å.
Positions (direct):
Ce: 0.0000 0.0000 0.0000  6 S 2.87
Ce: 0.5000 0.5000 0.0000  6 S 2.83
Pm: 0.0000 0.5000 0.5000  6 S 2.83
Y: 0.5000 0.0000 0.5000  6 S 2.79
S: 0.2539 0.0000 0.7463  1 Y 2.79, 3 Ce 2.83-2.87, 2 Pm 2.83
S: 0.2575 0.5000 0.2574  2 Y 2.79, 3 Ce 2.83-2.87, 1 Pm 2.83
S: 0.7425 0.5000 0.7426  2 Y 2.79, 3 Ce 2.83-2.87, 1 Pm 2.83
S: 0.7461 0.0000 0.2537  1 Y 2.79, 3 Ce 2.83-2.87, 2 Pm 2.83

---

No. 12
DFT (GGA-PBE) results for an optimized crystal structure of Rb3Li2PuBr9.

For the calculated volume, the calculation gives 521.42 Å³/cell. The calculation puts the total magnetic moment at 0.2666 μB/atom. The energy relative to the elements, uncorrected comes out at -149.1 kJ/mol of atoms. As for the space group: P-3m1 (164).

Cell lengths 7.8407, 7.8407, 9.7938 Å; angles 90.00, 90.00, 120.00 degrees
Last column: nearest neighbours and their distance in Å.
Positions (direct):
Rb: 0.0000 0.0000 0.0000  12 Br 3.92-3.99
Rb: 0.3333 0.6667 0.7129  9 Br 3.61-3.95, 1 Li 3.89
Rb: 0.6667 0.3333 0.2871  9 Br 3.61-3.95, 1 Li 3.89
Li: 0.3333 0.6667 0.1104  3 Br 2.51
Li: 0.6667 0.3333 0.8896  3 Br 2.51
Pu: 0.0000 0.0000 0.5000  6 Br 2.76
Br: 0.0000 0.5000 0.0000  2 Li 2.51
Br: 0.1658 0.3315 0.3369  1 Pu 2.76
Br: 0.1658 0.8342 0.3369  1 Pu 2.76
Br: 0.3315 0.1658 0.6631  1 Pu 2.76
Br: 0.5000 0.0000 0.0000  2 Li 2.51
Br: 0.5000 0.5000 0.0000  2 Li 2.51
Br: 0.6685 0.8342 0.3369  1 Pu 2.76
Br: 0.8342 0.1658 0.6631  1 Pu 2.76
Br: 0.8342 0.6685 0.6631  1 Pu 2.76